1.
PmHg2RuO6 | Alexandria | PBE | optimized geometry; D(E_F) = 3.5 states/eV per cell; space group = No. 148; formation energy without anion corrections = -1.22 eV per atom
1.0
2.878 1.662 4.936
-2.878 1.662 4.936
0.000 -3.323 4.936
Pm Hg Ru O
1 2 1 6
Cartesian
0.000 0.000 0.000
0.000 0.000 3.663
0.000 0.000 11.144
0.000 0.000 7.403
-0.634 -1.483 6.264
-1.601 -0.193 8.543
-0.968 1.290 6.264
0.968 -1.290 8.543
1.601 0.193 6.264
0.634 1.483 8.543

---

2.
FeTc2Pd | Alexandria | PBE | optimized geometry; D(E_F) = 4.7 states/eV per cell; space group = No. 166; E_form = 0.131 eV/atom
1.0
1.350 0.779 8.822
-1.350 0.779 8.822
0.000 -1.558 8.822
Fe Tc Pd
1 2 1
Cartesian
0.000 0.000 0.000
0.000 0.000 6.753
0.000 0.000 19.713
0.000 0.000 13.233

---

3.
La2TbSm | Alexandria | PBE | optimized geometry; D(E_F) = 7.2 states/eV per cell; space group = No. 65; E_form = 0.022 eV/atom
1.0
3.702 -5.084 0.000
3.702 5.084 0.000
0.000 0.000 3.712
La Tb Sm
2 1 1
Cartesian
1.851 2.542 0.000
1.851 -2.542 0.000
0.000 0.000 1.856
3.702 0.000 1.856

---

4.
PuMnNbRu | Alexandria | PBE | optimized geometry; D(E_F) = 4.8 states/eV per cell; space group = No. 216; E_form = 0.029 eV/atom
1.0
0.000 3.245 3.245
3.245 0.000 3.245
3.245 3.245 0.000
Pu Mn Nb Ru
1 1 1 1
Cartesian
0.000 0.000 0.000
1.622 1.622 1.622
3.245 3.245 3.245
4.867 4.867 4.867

---

5.
Na2Zn4Ga5 | Alexandria | PBE | optimized geometry; D(E_F) = 3.1 states/eV per cell; space group = No. 71; E_form = -0.031 eV/atom
1.0
-2.705 4.243 4.525
2.705 -4.243 4.525
2.705 4.243 -4.525
Na Zn Ga
2 4 5
Cartesian
0.000 1.634 0.000
0.000 6.851 0.000
2.705 1.966 -1.622
2.705 1.966 1.622
0.000 2.277 2.903
0.000 2.277 6.147
2.705 0.000 0.000
1.331 4.243 -1.420
1.374 0.000 3.105
1.331 4.243 1.420
1.374 0.000 5.945

---

6.
CaMgPt | Alexandria | PBE | optimized geometry; D(E_F) = 5.0 states/eV per cell; space group = No. 11; E_form = -0.837 eV/atom
1.0
7.304 0.000 0.000
0.000 4.306 0.000
-0.041 0.000 12.604
Ca Mg Pt
6 6 6
Cartesian
0.176 1.076 2.663
2.555 3.229 7.333
3.399 3.229 11.088
3.865 1.076 1.516
4.709 1.076 5.271
7.088 3.229 9.941
0.036 1.076 7.408
1.006 1.076 12.074
2.607 3.229 3.716
4.656 1.076 8.888
6.258 3.229 0.529
7.227 3.229 5.195
1.665 1.076 5.204
1.682 3.229 1.016
1.932 1.076 9.446
5.331 3.229 3.158
5.582 1.076 11.588
5.599 3.229 7.400

---

7.
NbMoSe | Alexandria | PBE | optimized geometry; D(E_F) = 3.6 states/eV per cell; space group = No. 12; formation energy without anion corrections = -0.18 eV per atom
1.0
4.559 -1.626 0.000
4.559 1.626 0.000
-2.419 0.000 7.093
Nb Mo Se
2 2 2
Cartesian
-0.496 0.000 1.857
7.194 0.000 5.235
0.821 0.000 6.582
5.877 0.000 0.510
2.085 0.000 2.517
4.613 0.000 4.575

---

8.
HoSiAg | Alexandria | PBE | optimized geometry; space group = No. 216; formation energy without anion corrections = -0.40 eV per atom
1.0
0.000 3.237 3.237
3.237 0.000 3.237
3.237 3.237 0.000
Ho Si Ag
1 1 1
Cartesian
0.000 0.000 0.000
1.619 1.619 1.619
3.237 3.237 3.237